First-principles (PBE) data for a relaxed structure of CdAg2Os, as listed in Alexandria via LeMat-Bulk.

a b c (Å): 9.7093 2.7488 5.2268
angles (deg): 90.00 98.39 90.00
Positions (direct):
Cd: 0.0000 0.0000 0.0000
Cd: 0.5000 0.5000 0.0000
Ag: 0.0064 0.5000 0.5119
Ag: 0.2539 0.5000 0.2737
Ag: 0.5064 0.0000 0.5119
Ag: 0.7539 0.0000 0.2737
Os: 0.2514 0.0000 0.7693
Os: 0.7514 0.5000 0.7693

## Properties
- Space group: Cm, No. 8
- Fermi-level density of states: 5.24 states/eV per cell
- Calculated total energy: -31.50 eV/cell
- Formation energy from the elements: 0.52 eV per atom

First-principles (PBE) data for a relaxed structure of CdAg2Os, as listed in Alexandria via LeMat-Bulk.

a b c (Å): 2.7163 4.8747 5.2789
angles (deg): 90.00 95.00 90.00
Positions (direct):
Cd: 0.0000 0.0000 0.0000
Ag: 0.2441 0.5000 0.7416
Ag: 0.7559 0.5000 0.2584
Os: 0.5000 0.0000 0.5000

## Properties
- Space group: P2/m, No. 10
- Fermi-level density of states: 1.74 states/eV per cell
- Calculated total energy: -15.65 eV/cell
- Formation energy from the elements: 0.55 eV per atom

First-principles (PBE) data for a relaxed structure of CdAg2Os, as listed in Alexandria via LeMat-Bulk.

a b c (Å): 2.9071 4.7719 9.9889
angles (deg): 90.00 90.00 90.00
Positions (direct):
Cd: 0.0000 0.0000 0.0000
Cd: 0.5000 0.5000 0.0000
Ag: 0.0000 0.5000 0.2564
Ag: 0.0000 0.5000 0.7436
Ag: 0.5000 0.0000 0.2564
Ag: 0.5000 0.0000 0.7436
Os: 0.0000 0.0000 0.5000
Os: 0.5000 0.5000 0.5000

## Properties
- Space group: Cmmm, No. 65
- Fermi-level density of states: 5.65 states/eV per cell
- Calculated total energy: -31.99 eV/cell
- Formation energy from the elements: 0.46 eV per atom

First-principles (PBE) data for a relaxed structure of CdAg2Os, as listed in Alexandria via LeMat-Bulk.

a b c (Å): 5.6921 9.8376 2.7199
angles (deg): 90.00 114.16 90.00
Positions (direct):
Cd: 0.0000 0.0000 0.0000
Cd: 0.5000 0.5000 0.0000
Ag: 0.2500 0.2500 0.5000
Ag: 0.2500 0.7500 0.5000
Ag: 0.7500 0.2500 0.5000
Ag: 0.7500 0.7500 0.5000
Os: 0.0000 0.5000 0.0000
Os: 0.5000 0.0000 0.0000

## Properties
- Space group: C2/m, No. 12
- Fermi-level density of states: 4.01 states/eV per cell
- Calculated total energy: -31.58 eV/cell
- Formation energy from the elements: 0.51 eV per atom

First-principles (PBE) data for a relaxed structure of CdAgOs, as listed in Alexandria via LeMat-Bulk.

a b c (Å): 2.9108 4.7787 14.7904
angles (deg): 90.00 90.00 90.00
Positions (direct):
Cd: 0.0000 0.0000 0.0000
Cd: 0.0000 0.5000 0.5000
Cd: 0.5000 0.0000 0.5000
Cd: 0.5000 0.5000 0.0000
Ag: 0.0000 0.0000 0.6713
Ag: 0.0000 0.5000 0.1713
Ag: 0.5000 0.0000 0.1713
Ag: 0.5000 0.5000 0.6713
Os: 0.0000 0.0000 0.3354
Os: 0.0000 0.5000 0.8354
Os: 0.5000 0.0000 0.8354
Os: 0.5000 0.5000 0.3354

## Properties
- Space group: Fmm2, No. 42
- Fermi-level density of states: 9.35 states/eV per cell
- Calculated total energy: -53.29 eV/cell
- Relative energy among the computed polymorphs: 0.054 eV/atom
- Formation energy from the elements: 0.56 eV per atom

First-principles (PBE) data for a relaxed structure of CdAg2Os, as listed in Alexandria via LeMat-Bulk.

a b c (Å): 2.7310 4.3338 5.8524
angles (deg): 90.00 90.20 90.00
Positions (direct):
Cd: 0.0000 0.0000 0.0000
Ag: 0.0023 0.0000 0.4866
Ag: 0.5014 0.5000 0.7341
Os: 0.5010 0.5000 0.2404

## Properties
- Space group: Pm, No. 6
- Fermi-level density of states: 2.36 states/eV per cell
- Calculated total energy: -15.78 eV/cell
- Formation energy from the elements: 0.52 eV per atom

First-principles (PBE) data for a relaxed structure of CdAgOs, as listed in Alexandria via LeMat-Bulk.

a b c (Å): 6.3552 6.3552 6.3552
angles (deg): 90.00 90.00 90.00
Positions (direct):
Cd: 0.0000 0.0000 0.0000
Cd: 0.0000 0.5000 0.5000
Cd: 0.5000 0.0000 0.5000
Cd: 0.5000 0.5000 0.0000
Ag: 0.0000 0.0000 0.5000
Ag: 0.0000 0.5000 0.0000
Ag: 0.5000 0.0000 0.0000
Ag: 0.5000 0.5000 0.5000
Os: 0.2500 0.2500 0.2500
Os: 0.2500 0.7500 0.7500
Os: 0.7500 0.2500 0.7500
Os: 0.7500 0.7500 0.2500

## Properties
- Space group: F-43m, No. 216
- Fermi-level density of states: 11.56 states/eV per cell
- Calculated total energy: -45.29 eV/cell
- Relative energy among the computed polymorphs: 0.721 eV/atom
- Formation energy from the elements: 1.22 eV per atom

First-principles (PBE) data for a relaxed structure of CdAg2Os, as listed in Alexandria via LeMat-Bulk.

a b c (Å): 4.1308 4.1308 8.1804
angles (deg): 90.00 90.00 90.00
Positions (direct):
Cd: 0.0000 0.0000 0.0000
Cd: 0.5000 0.5000 0.5000
Ag: 0.0000 0.5000 0.2500
Ag: 0.0000 0.5000 0.7500
Ag: 0.5000 0.0000 0.2500
Ag: 0.5000 0.0000 0.7500
Os: 0.0000 0.0000 0.5000
Os: 0.5000 0.5000 0.0000

## Properties
- Space group: I4/mmm, No. 139
- Fermi-level density of states: 7.84 states/eV per cell
- Calculated total energy: -30.17 eV/cell
- Formation energy from the elements: 0.69 eV per atom

First-principles (PBE) data for a relaxed structure of CdAg2Os, as listed in Alexandria via LeMat-Bulk.

a b c (Å): 2.8346 2.8346 29.5363
angles (deg): 90.00 90.00 120.00
Positions (direct):
Cd: 0.0000 0.0000 0.0000
Cd: 0.3333 0.6667 0.6667
Cd: 0.6667 0.3333 0.3333
Ag: 0.0000 0.0000 0.2471
Ag: 0.0000 0.0000 0.7529
Ag: 0.3333 0.6667 0.4195
Ag: 0.3333 0.6667 0.9138
Ag: 0.6667 0.3333 0.0862
Ag: 0.6667 0.3333 0.5805
Os: 0.0000 0.0000 0.5000
Os: 0.3333 0.6667 0.1667
Os: 0.6667 0.3333 0.8333

## Properties
- Space group: R-3m, No. 166
- Fermi-level density of states: 4.49 states/eV per cell
- Calculated total energy: -49.04 eV/cell
- Formation energy from the elements: 0.38 eV per atom

First-principles (PBE) data for a relaxed structure of CdAgOs, as listed in Alexandria via LeMat-Bulk.

a b c (Å): 2.6850 4.3820 8.7930
angles (deg): 90.00 90.00 90.00
Positions (direct):
Cd: 0.0000 0.0000 0.0000
Cd: 0.5000 0.5000 0.5000
Ag: 0.0000 0.0000 0.3283
Ag: 0.5000 0.5000 0.8283
Os: 0.0000 0.0000 0.6666
Os: 0.5000 0.5000 0.1666

## Properties
- Space group: Imm2, No. 44
- Fermi-level density of states: 3.35 states/eV per cell
- Calculated total energy: -25.89 eV/cell
- Relative energy among the computed polymorphs: 0.179 eV/atom
- Formation energy from the elements: 0.68 eV per atom

First-principles (PBE) data for a relaxed structure of CdAg2Os, as listed in Alexandria via LeMat-Bulk.

a b c (Å): 6.5426 6.5426 6.5426
angles (deg): 90.00 90.00 90.00
Positions (direct):
Cd: 0.0000 0.0000 0.0000
Cd: 0.0000 0.5000 0.5000
Cd: 0.5000 0.0000 0.5000
Cd: 0.5000 0.5000 0.0000
Ag: 0.0000 0.0000 0.5000
Ag: 0.0000 0.5000 0.0000
Ag: 0.2500 0.2500 0.2500
Ag: 0.2500 0.7500 0.7500
Ag: 0.5000 0.0000 0.0000
Ag: 0.5000 0.5000 0.5000
Ag: 0.7500 0.2500 0.7500
Ag: 0.7500 0.7500 0.2500
Os: 0.2500 0.2500 0.7500
Os: 0.2500 0.7500 0.2500
Os: 0.7500 0.2500 0.2500
Os: 0.7500 0.7500 0.7500

## Properties
- Space group: F-43m, No. 216
- Fermi-level density of states: 20.56 states/eV per cell
- Calculated total energy: -59.90 eV/cell
- Formation energy from the elements: 0.72 eV per atom

First-principles (PBE) data for a relaxed structure of CdAg2Os, as listed in Alexandria via LeMat-Bulk.

a b c (Å): 2.7892 2.7892 8.8845
angles (deg): 90.00 90.00 90.00
Positions (direct):
Cd: 0.0000 0.0000 0.0000
Ag: 0.5000 0.5000 0.2607
Ag: 0.5000 0.5000 0.7393
Os: 0.0000 0.0000 0.5000

## Properties
- Space group: P4/mmm, No. 123
- Fermi-level density of states: 2.41 states/eV per cell
- Calculated total energy: -15.80 eV/cell
- Formation energy from the elements: 0.51 eV per atom